Entry 1:
A geometry-optimized SmYMgHg structure, computed with GGA-PBE.

abc: 3.8056 3.8056 7.4959
angles: 90.00 90.00 90.00
Element x y z (fractional)
Sm 0.5000 0.5000 0.1096
Y 0.5000 0.5000 0.6031
Mg 0.0000 0.0000 0.8504
Hg 0.0000 0.0000 0.3648

calculated density: 7.10 Mg/m³
formation enthalpy at 0 K: -294 meV/atom
energy relative to the lowest polymorph listed for this composition: 0 meV/atom
density of states at the Fermi level: 4.854 states/eV per cell



Entry 2:
A geometry-optimized SmMgZnHg structure, computed with GGA-PBE.

abc: 5.0280 5.0280 5.0280
angles: 60.00 60.00 60.00
Element x y z (fractional)
Mg 0.0000 0.0000 0.0000
Zn 0.7500 0.7500 0.7500
Hg 0.2500 0.2500 0.2500
Sm 0.5000 0.5000 0.5000

calculated density: 8.14 Mg/m³
formation enthalpy at 0 K: -389 meV/atom
density of states at the Fermi level: 1.992 states/eV per cell



Entry 3:
A geometry-optimized Sm4MgZnHg2 structure, computed with GGA-PBE.

abc: 5.3343 5.3343 9.2196
angles: 73.18 73.18 60.00
Each line ends with the local moment (μB).
Element x y z (fractional)
Sm 0.3820 0.3820 0.8539  0.08
Sm 0.8691 0.8691 0.3928  0.17
Sm 0.1309 0.1309 0.6072  0.17
Sm 0.6180 0.6180 0.1461  0.08
Mg 0.0000 0.0000 0.0000  0.00
Zn 0.5000 0.5000 0.5000  0.02
Hg 0.7411 0.7411 0.7767  0.01
Hg 0.2589 0.2589 0.2233  0.01

calculated density: 8.47 Mg/m³
formation enthalpy at 0 K: -334 meV/atom
density of states at the Fermi level: 9.992 states/eV per cell



Entry 4:
A geometry-optimized SmMg2ZnHg4 structure, computed with GGA-PBE.

abc: 4.8862 4.8862 9.1961
angles: 74.59 74.59 60.00
Element x y z (fractional)
Sm 0.0000 0.0000 0.0000
Mg 0.7558 0.7558 0.7325
Mg 0.2442 0.2442 0.2675
Zn 0.5000 0.5000 0.5000
Hg 0.3857 0.3857 0.8430
Hg 0.8729 0.8729 0.3812
Hg 0.1271 0.1271 0.6188
Hg 0.6143 0.6143 0.1570

calculated density: 9.79 Mg/m³
formation enthalpy at 0 K: -246 meV/atom
density of states at the Fermi level: 3.592 states/eV per cell



Question: The highest formation enthalpy at 0 K belongs to which entry?
Answer: SmMg2ZnHg4